(1)
# TcAg2Sb, relaxed, DFT GGA-PBEsol
data_TcAg2Sb
_chemical_formula_sum 'Tc4 Ag8 Sb4'
_symmetry_space_group_name_H-M 'F -4 3 m'
_symmetry_Int_Tables_number 216
_symmetry_space_group_name_Hall 'F -4 2 3'
_cell_length_a 6.4657
_cell_length_b 6.4657
_cell_length_c 6.4657
_cell_angle_alpha 90.00
_cell_angle_beta 90.00
_cell_angle_gamma 90.00
loop_
_atom_site_label
_atom_site_type_symbol
_atom_site_fract_x
_atom_site_fract_y
_atom_site_fract_z
_atom_site_occupancy
Tc1 Tc 0.0000 0.0000 0.0000 1
Ag1 Ag 0.0000 0.0000 0.5000 1
Ag2 Ag 0.2500 0.2500 0.7500 1
Sb1 Sb 0.2500 0.2500 0.2500 1
# E   -5.2537 eV per atom
# Volume   16.9 Å³/atom

---

(2)
# ZrZn2Cd, relaxed, DFT GGA-PBEsol
data_ZrZn2Cd
_chemical_formula_sum 'Zr2 Zn4 Cd2'
_symmetry_space_group_name_H-M 'I m m 2'
_symmetry_Int_Tables_number 44
_symmetry_space_group_name_Hall 'I 2 -2'
_cell_length_a 3.0759
_cell_length_b 4.6567
_cell_length_c 9.8429
_cell_angle_alpha 90.00
_cell_angle_beta 90.00
_cell_angle_gamma 90.00
loop_
_atom_site_label
_atom_site_type_symbol
_atom_site_fract_x
_atom_site_fract_y
_atom_site_fract_z
_atom_site_occupancy
Zr1 Zr 0.0000 0.0000 0.0000 1
Zn1 Zn 0.0000 0.0000 0.5338 1
Zn2 Zn 0.0000 0.5000 0.2445 1
Cd1 Cd 0.0000 0.5000 0.7790 1
# E   -3.3957 eV per atom
# Volume   17.6 Å³/atom

---

(3)
# Tc2IrBr, relaxed, DFT GGA-PBEsol
data_Tc2IrBr
_chemical_formula_sum 'Tc4 Ir2 Br2'
_symmetry_space_group_name_H-M 'I -4 m 2'
_symmetry_Int_Tables_number 119
_symmetry_space_group_name_Hall 'I -4 -2'
_cell_length_a 3.9950
_cell_length_b 3.9950
_cell_length_c 7.4655
_cell_angle_alpha 90.00
_cell_angle_beta 90.00
_cell_angle_gamma 90.00
loop_
_atom_site_label
_atom_site_type_symbol
_atom_site_fract_x
_atom_site_fract_y
_atom_site_fract_z
_atom_site_occupancy
Tc1 Tc 0.0000 0.0000 0.0000 1
Tc2 Tc 0.0000 0.5000 0.2500 1
Ir1 Ir 0.0000 0.5000 0.7500 1
Br1 Br 0.0000 0.0000 0.5000 1
# Distance to the lowest polymorph of the same formula   380 meV/atom
# E   -7.6060 eV per atom
# Volume   14.9 Å³/atom

---

(4)
# SbAsO5, relaxed, DFT GGA-PBEsol
data_SbAsO5
_chemical_formula_sum 'Sb4 As4 O20'
_symmetry_space_group_name_H-M 'P 21 21 21'
_symmetry_Int_Tables_number 19
_symmetry_space_group_name_Hall 'P 2ac 2ab'
_cell_length_a 4.9326
_cell_length_b 8.8299
_cell_length_c 9.2384
_cell_angle_alpha 90.00
_cell_angle_beta 90.00
_cell_angle_gamma 90.00
loop_
_atom_site_label
_atom_site_type_symbol
_atom_site_fract_x
_atom_site_fract_y
_atom_site_fract_z
_atom_site_occupancy
Sb1 Sb 0.1171 0.1531 0.3968 1
As1 As 0.1072 0.5280 0.7889 1
O1 O 0.0535 0.4995 0.9709 1
O2 O 0.0748 0.8281 0.0278 1
O3 O 0.1797 0.6175 0.2475 1
O4 O 0.1924 0.0214 0.8046 1
O5 O 0.2224 0.7064 0.7470 1
# E   -6.3788 eV per atom
# Volume   14.4 Å³/atom